# 1
Below is ScMnTcP2 after structural relaxation, with properties calculated at the PBE-GGA level.

Structure (CIF):
```
data_ScMnTcP2
_chemical_formula_sum 'Sc1 Mn1 Tc1 P2'
_cell_length_a 4.5448
_cell_length_b 4.5448
_cell_length_c 4.7664
_cell_angle_alpha 90.00
_cell_angle_beta 90.00
_cell_angle_gamma 90.00
_symmetry_space_group_name_H-M 'P 4/m m m'
_symmetry_Int_Tables_number 123
_symmetry_space_group_name_Hall '-P 4 2'
loop_
_atom_site_label
_atom_site_type_symbol
_atom_site_fract_x
_atom_site_fract_y
_atom_site_fract_z
Sc1 Sc 0.0000 0.0000 0.0000
Mn1 Mn 0.5000 0.5000 0.0000
Tc1 Tc 0.5000 0.5000 0.5000
P1 P 0.0000 0.5000 0.5000
```

Energy of formation in eV/atom: 0.2981
VASP energy in eV/atom: -7.04


# 2
Below is NbV2W after structural relaxation, with properties calculated at the PBE-GGA level.

Structure (CIF):
```
data_NbV2W
_chemical_formula_sum 'Nb2 V4 W2'
_cell_length_a 5.2411
_cell_length_b 5.3325
_cell_length_c 5.3411
_cell_angle_alpha 119.13
_cell_angle_beta 99.73
_cell_angle_gamma 95.19
_symmetry_space_group_name_H-M 'P 1'
_symmetry_Int_Tables_number 1
loop_
_symmetry_equiv_pos_as_xyz
'x,y,z'
loop_
_atom_site_label
_atom_site_type_symbol
_atom_site_fract_x
_atom_site_fract_y
_atom_site_fract_z
Nb1 Nb 0.0000 0.0000 0.0000
Nb2 Nb 0.4934 0.5106 0.4974
V1 V 0.0247 0.9899 0.5004
V2 V 0.4985 0.0077 0.9932
V3 V 0.5258 0.0109 0.4902
V4 V 0.9910 0.4907 0.5000
W1 W 0.2523 0.5040 0.9922
W2 W 0.7526 0.5002 0.0024
```

Energy of formation in eV/atom: 0.1973
ΔE to the lowest computed polymorph in eV per atom: 0.2158
VASP energy in eV/atom: -10.12


# 3
Below is Rb6AgHg after structural relaxation, with properties calculated at the PBE-GGA level.

Structure (CIF):
```
data_Rb6AgHg
_chemical_formula_sum 'Rb12 Ag2 Hg2'
_cell_length_a 4.8732
_cell_length_b 13.9887
_cell_length_c 15.7394
_cell_angle_alpha 90.00
_cell_angle_beta 90.00
_cell_angle_gamma 90.00
_symmetry_space_group_name_H-M 'A m m 2'
_symmetry_Int_Tables_number 38
loop_
_symmetry_equiv_pos_as_xyz
'x,y,z'
'-x,-y,z'
'-x,y,z'
'x,-y,z'
'x,y+1/2,z+1/2'
'-x,-y+1/2,z+1/2'
'-x,y+1/2,z+1/2'
'x,-y+1/2,z+1/2'
loop_
_atom_site_label
_atom_site_type_symbol
_atom_site_fract_x
_atom_site_fract_y
_atom_site_fract_z
Rb1 Rb 0.0000 0.0000 0.0000
Rb2 Rb 0.0000 0.1587 0.7133
Rb3 Rb 0.5000 0.0000 0.2682
Rb4 Rb 0.5000 0.2064 0.4676
Ag1 Ag 0.5000 0.0000 0.6025
Hg1 Hg 0.0000 0.0000 0.4971
```

Energy of formation in eV/atom: -0.0296
VASP energy in eV/atom: -1.15


# 4
Below is CeCu2Pd8 after structural relaxation, with properties calculated at the PBE-GGA level.

Structure (CIF):
```
data_CeCu2Pd8
_chemical_formula_sum 'Ce2 Cu4 Pd16'
_cell_length_a 13.1494
_cell_length_b 5.4161
_cell_length_c 5.1730
_cell_angle_alpha 90.00
_cell_angle_beta 98.74
_cell_angle_gamma 90.00
_symmetry_space_group_name_H-M 'C 1 2/m 1'
_symmetry_Int_Tables_number 12
loop_
_symmetry_equiv_pos_as_xyz
'x,y,z'
'-x,-y,-z'
'-x,y,-z'
'x,-y,z'
'x+1/2,y+1/2,z'
'-x+1/2,-y+1/2,-z'
'-x+1/2,y+1/2,-z'
'x+1/2,-y+1/2,z'
loop_
_atom_site_label
_atom_site_type_symbol
_atom_site_fract_x
_atom_site_fract_y
_atom_site_fract_z
Ce1 Ce 0.0000 0.0000 0.0000
Cu1 Cu 0.2448 0.0000 0.5178
Pd1 Pd 0.0873 0.5000 0.1702
Pd2 Pd 0.0956 0.2558 0.6528
Pd3 Pd 0.2311 0.0000 0.0311
```

Energy of formation in eV/atom: -0.2465
ΔE to the lowest computed polymorph in eV per atom: 0.1093
VASP energy in eV/atom: -5.31